! Sm6Ho3Tm2Tl, optimized geometry, DFT PBE; values from VASP
&SYSTEM
  ibrav = 0, nat = 12, ntyp = 4
/
ATOMIC_SPECIES
Tl 204.38 Tl.upf
Sm 150.36 Sm.upf
Ho 164.93 Ho.upf
Tm 168.93 Tm.upf
CELL_PARAMETERS angstrom
6.162 -0.006 0.006
-3.085 5.334 0.006
-1.050 -1.817 11.496
ATOMIC_POSITIONS crystal
Tl 0.000 0.000 0.000
Sm 0.411 0.082 0.247
Sm 0.082 0.411 0.247
Sm 0.589 0.918 0.753
Sm 0.918 0.589 0.753
Sm 0.247 0.247 0.751
Sm 0.753 0.753 0.249
Ho 0.168 0.832 0.500
Ho 0.832 0.168 0.500
Ho 0.500 0.500 0.500
Tm 0.666 0.334 0.000
Tm 0.334 0.666 0.000
! Formation energy = -0.01 eV/atom